Record 1
Dy6Ag2Pd: optimized geometry, PBE.

abc: 15.649 7.032 5.015
angles: 90.00 108.62 90.00
Space group C2/m (No. 12)
Asymmetric unit:
Dy  0.000  0.242  0.000
Dy  0.162  0.246  0.662
Ag  0.167  0.500  0.167
Pd  0.000  0.000  0.500

Results
As for the crystal system: monoclinic. The calculation puts the total energy at -4.404 eV per atom. The density of states at the Fermi level is 21.45 states/eV/cell. For the energy above the most stable polymorph in this dataset, the calculation gives 1.36 eV per formula unit. The energy relative to the elements comes out at -0.125 eV per atom.

=====

Record 2
Nd3TeAsBr: optimized geometry, PBE.

abc: 9.031 4.241 10.342
angles: 90.00 92.29 90.00
Space group P2_1/m (No. 11)
Asymmetric unit:
Nd  0.105  0.250  0.354
Nd  0.146  0.250  0.923
Nd  0.361  0.750  0.633
Te  0.371  0.750  0.325
As  0.129  0.250  0.640
Br  0.372  0.750  0.923

Results
As for the crystal system: monoclinic. The calculation puts the total energy at -5.266 eV per atom. The density of states at the Fermi level is 6.56 states/eV/cell. The formation energy from raw total energies comes out at -7.83 eV/f.u.

=====

Record 3
YNp2UAs4: optimized geometry, PBE.

abc: 7.101 4.078 7.133
angles: 90.00 109.13 90.00
Space group P2/m (No. 10)
Asymmetric unit:
Y  0.000  0.000  0.000
Np  0.000  0.500  0.500
Np  0.500  0.000  0.500
U  0.500  0.500  0.000
As  0.252  0.000  0.752
As  0.253  0.500  0.250

Results
As for the crystal system: monoclinic. The calculation puts the total energy at -8.663 eV per atom. The density of states at the Fermi level is 25.66 states/eV/cell. The energy relative to the elements comes out at -0.884 eV per atom.